# 1
First-principles (PBE-GGA) data for a relaxed CaCdRu2 crystal, as listed in the Alexandria database.

Lattice parameters (Å, degrees): 9.4981 9.4981 9.4981 18.03 18.03 18.03
Last column: nearest neighbours and their distance in Å.
Fractional coordinates of all 4 atoms:
1 Ca 0.0000 0.0000 0.0000  6 Ru 2.95, 6 Ca 2.98
2 Cd 0.5000 0.5000 0.5000  6 Ru 2.85, 6 Cd 2.98
3 Ru 0.2477 0.2477 0.2477  3 Cd 2.85, 3 Ca 2.95, 6 Ru 2.98
4 Ru 0.7523 0.7523 0.7523  3 Cd 2.85, 3 Ca 2.95, 6 Ru 2.98

Computed properties:
energy of formation: 0.57 eV/atom
space-group type: No. 166



# 2
First-principles (PBE-GGA) data for a relaxed Tb4ZnGe3 crystal, as listed in the Alexandria database.

Lattice parameters (Å, degrees): 4.0504 4.2612 10.8901 90.00 90.00 90.00
Last column: nearest neighbours and their distance in Å.
Fractional coordinates of all 8 atoms:
1 Tb 0.0000 0.0000 0.0000  7 Ge 3.00-3.21
2 Tb 0.0000 0.5000 0.4972  3 Ge 3.01-3.21, 4 Zn 3.03
3 Tb 0.5000 0.0000 0.2755  6 Ge 3.00-3.23, 1 Zn 3.15
4 Tb 0.5000 0.5000 0.7789  5 Ge 2.98-3.01, 2 Zn 3.16
5 Zn 0.5000 0.0000 0.5649  2 Ge 2.62
6 Ge 0.0000 0.0000 0.7176  2 Zn 2.62
7 Ge 0.0000 0.5000 0.2204  2 Ge 2.73, 5 Tb 3.00-3.01
8 Ge 0.5000 0.5000 0.0527  2 Ge 2.73, 5 Tb 2.98-3.00

Computed properties:
energy of formation: -0.75 eV/atom
space-group type: No. 25



# 3
First-principles (PBE-GGA) data for a relaxed Y3WC crystal, as listed in the Alexandria database.

Lattice parameters (Å, degrees): 5.3135 5.3135 5.3135 90.00 90.00 90.00
Last column: nearest neighbours and their distance in Å.
Fractional coordinates of all 5 atoms:
1 Y 0.0000 0.0000 0.5000  2 W 2.66
2 Y 0.0000 0.5000 0.0000  2 W 2.66
3 Y 0.5000 0.0000 0.0000  2 W 2.66
4 W 0.0000 0.0000 0.0000  6 Y 2.66
5 C 0.5000 0.5000 0.5000  12 Y 3.76

Computed properties:
energy of formation: 1.75 eV/atom
distance to the lowest polymorph of the same formula: 1319.3 meV per atom
space-group type: No. 221



# 4
First-principles (PBE-GGA) data for a relaxed KReHg2 crystal, as listed in the Alexandria database.

Lattice parameters (Å, degrees): 6.0284 6.0284 6.0284 138.39 138.39 60.30
Last column: nearest neighbours and their distance in Å.
Fractional coordinates of all 4 atoms:
1 K 0.0000 0.0000 0.0000  8 Hg 3.03-3.37, 4 Re 3.37
2 Re 0.2500 0.7500 0.5000  8 Hg 3.03-3.37, 4 K 3.37
3 Hg 0.5000 0.5000 0.0000  4 K 3.03, 4 Hg 3.37, 4 Re 3.37
4 Hg 0.7500 0.2500 0.5000  4 Re 3.03, 4 Hg 3.37, 4 K 3.37

Computed properties:
energy of formation: 1.15 eV/atom
distance to the lowest polymorph of the same formula: 438.7 meV per atom
space-group type: No. 119



# 5
First-principles (PBE-GGA) data for a relaxed PmCdPb3 crystal, as listed in the Alexandria database.

Lattice parameters (Å, degrees): 4.5474 6.0785 6.1210 87.72 68.21 68.28
Last column: nearest neighbours and their distance in Å.
Fractional coordinates of all 5 atoms:
1 Pm 0.0000 0.0000 0.0000  9 Pb 3.36-3.59, 3 Cd 3.50-3.52
2 Cd 0.4088 0.7825 0.3978  7 Pb 3.20-3.52, 3 Pm 3.50-3.52
3 Pb 0.1955 0.4208 0.1849  2 Cd 3.20-3.21, 4 Pb 3.34-3.54, 3 Pm 3.36-3.55
4 Pb 0.6244 0.1644 0.5866  2 Cd 3.23-3.24, 3 Pm 3.36-3.47, 3 Pb 3.40-3.54
5 Pb 0.8083 0.5828 0.8027  6 Pb 3.34-3.63, 3 Pm 3.36-3.59, 3 Cd 3.44-3.52

Computed properties:
energy of formation: -0.20 eV/atom
space-group type: No. 1



# 6
First-principles (PBE-GGA) data for a relaxed CaTmCdGa crystal, as listed in the Alexandria database.

Lattice parameters (Å, degrees): 3.5991 3.5991 7.6669 90.00 90.00 90.00
Last column: nearest neighbours and their distance in Å.
Fractional coordinates of all 4 atoms:
1 Ca 0.0000 0.0000 0.0000  4 Ga 3.19, 4 Cd 3.31
2 Tm 0.0000 0.0000 0.4696  4 Ga 3.05, 4 Cd 3.21
3 Cd 0.5000 0.5000 0.7249  4 Tm 3.21, 4 Ca 3.31
4 Ga 0.5000 0.5000 0.2499  4 Tm 3.05, 4 Ca 3.19

Computed properties:
energy of formation: -0.43 eV/atom
distance to the lowest polymorph of the same formula: 0.0 meV per atom
space-group type: No. 99



# 7
First-principles (PBE-GGA) data for a relaxed Na3GeP crystal, as listed in the Alexandria database.

Lattice parameters (Å, degrees): 5.3890 5.3890 5.3890 90.00 90.00 90.00
Last column: nearest neighbours and their distance in Å.
Fractional coordinates of all 5 atoms:
1 Na 0.0000 0.0000 0.5000  2 P 2.69
2 Na 0.0000 0.5000 0.0000  2 P 2.69
3 Na 0.5000 0.0000 0.0000  2 P 2.69
4 Ge 0.5000 0.5000 0.5000  12 Na 3.81
5 P 0.0000 0.0000 0.0000  6 Na 2.69

Computed properties:
energy of formation: 0.28 eV/atom
distance to the lowest polymorph of the same formula: 364.7 meV per atom
space-group type: No. 221



# 8
First-principles (PBE-GGA) data for a relaxed Dy12TlZn6 crystal, as listed in the Alexandria database.

Lattice parameters (Å, degrees): 8.6729 8.6729 8.6729 109.47 109.47 109.47
Last column: nearest neighbours and their distance in Å.
Fractional coordinates of all 19 atoms:
1 Dy 0.0965 0.8071 0.2894  3 Zn 2.80-3.12
2 Dy 0.1929 0.2894 0.4823  3 Zn 2.80-3.12
3 Dy 0.1929 0.7106 0.9035  3 Zn 2.80-3.12
4 Dy 0.2894 0.0965 0.8071  3 Zn 2.80-3.12
5 Dy 0.2894 0.4823 0.1929  3 Zn 2.80-3.12
6 Dy 0.4823 0.1929 0.2894  3 Zn 2.80-3.12
7 Dy 0.5177 0.8071 0.7106  3 Zn 2.80-3.12
8 Dy 0.7106 0.5177 0.8071  3 Zn 2.80-3.12
9 Dy 0.7106 0.9035 0.1929  3 Zn 2.80-3.12
10 Dy 0.8071 0.2894 0.0965  3 Zn 2.80-3.12
11 Dy 0.8071 0.7106 0.5177  3 Zn 2.80-3.12
12 Dy 0.9035 0.1929 0.7106  3 Zn 2.80-3.12
13 Tl 0.0000 0.0000 0.0000  12 Dy 3.48
14 Zn 0.1233 0.6233 0.5000  1 Zn 2.47
15 Zn 0.3767 0.5000 0.8767  1 Zn 2.47
16 Zn 0.5000 0.1233 0.6233  1 Zn 2.47
17 Zn 0.5000 0.8767 0.3767  1 Zn 2.47
18 Zn 0.6233 0.5000 0.1233  1 Zn 2.47
19 Zn 0.8767 0.3767 0.5000  1 Zn 2.47

Computed properties:
energy of formation: -0.19 eV/atom
space-group type: No. 204